Entry 1:
Entry from Alexandria via LeMat-Bulk: ThSbF6 after structural relaxation (PBE-GGA).

Summary:
Space group: R-3m
N(E_F) in states/eV/f.u.: 3.1
Total magnetization in μB per formula unit: 0.0
Formation energy (no corrections) in eV/atom: -2.59
Mass density in g/cm³: 6.7

a = 6.6828 Å, b = 6.6828 Å, c = 6.6828 Å
α = 41.14°, β = 41.14°, γ = 41.14°
Element x y z (fractional)
Th (0.0000, 0.0000, 0.0000)
Sb (0.5000, 0.5000, 0.5000)
F (0.0647, 0.5668, 0.5668)
F (0.4332, 0.4332, 0.9353)
F (0.4332, 0.9353, 0.4332)
F (0.5668, 0.0647, 0.5668)
F (0.5668, 0.5668, 0.0647)
F (0.9353, 0.4332, 0.4332)

Entry 2:
Entry from Alexandria via LeMat-Bulk: VB3Rh after structural relaxation (PBE-GGA).

Summary:
Space group: P2_1/m
N(E_F) in states/eV/f.u.: 2.7
Total magnetization in μB per formula unit: 0.0
Mass density in g/cm³: 7.1
Formation enthalpy at 0 K in eV per atom: -0.5456

a = 3.1488 Å, b = 3.0547 Å, c = 9.2242 Å
α = 90.00°, β = 99.76°, γ = 90.00°
Element x y z (fractional)
V (0.0695, 0.2500, 0.1409)
V (0.9305, 0.7500, 0.8591)
B (0.3275, 0.7500, 0.6559)
B (0.3809, 0.2500, 0.7630)
B (0.4767, 0.2500, 0.9530)
B (0.5233, 0.7500, 0.0470)
B (0.6191, 0.7500, 0.2370)
B (0.6725, 0.2500, 0.3441)
Rh (0.2009, 0.7500, 0.4008)
Rh (0.7991, 0.2500, 0.5992)

Entry 3:
Entry from Alexandria via LeMat-Bulk: Mn2NiCl after structural relaxation (PBE-GGA).

Summary:
Space group: Cmmm
N(E_F) in states/eV/f.u.: 2.7
Total magnetization in μB per formula unit: 8.9
Formation energy (no corrections) in eV/atom: 0.33
Mass density in g/cm³: 5.6
Energy above the lowest structure with this stoichiometry in kcal/mol of atoms: 8.22

a = 6.0096 Å, b = 6.9087 Å, c = 2.9011 Å
α = 90.00°, β = 90.00°, γ = 90.00°
Element x y z (fractional)
Mn (0.2500, 0.2500, 0.0000)
Mn (0.2500, 0.7500, 0.0000)
Mn (0.7500, 0.2500, 0.0000)
Mn (0.7500, 0.7500, 0.0000)
Ni (0.0000, 0.0000, 0.5000)
Ni (0.5000, 0.5000, 0.5000)
Cl (0.0000, 0.5000, 0.5000)
Cl (0.5000, 0.0000, 0.5000)

Entry 4:
Entry from Alexandria via LeMat-Bulk: Sm4In3Sn after structural relaxation (PBE-GGA).

Summary:
Space group: Pmmm
N(E_F) in states/eV/f.u.: 3.7
Total magnetization in μB per formula unit: 0.0
Mass density in g/cm³: 7.8
Formation enthalpy at 0 K in eV per atom: -0.5203

a = 3.7691 Å, b = 5.4664 Å, c = 10.9358 Å
α = 90.00°, β = 90.00°, γ = 90.00°
Element x y z (fractional)
Sm (0.0000, 0.0000, 0.0000)
Sm (0.0000, 0.0000, 0.5000)
Sm (0.0000, 0.5000, 0.2481)
Sm (0.0000, 0.5000, 0.7519)
In (0.5000, 0.0000, 0.2548)
In (0.5000, 0.0000, 0.7452)
In (0.5000, 0.5000, 0.5000)
Sn (0.5000, 0.5000, 0.0000)

Entry 5:
Entry from Alexandria via LeMat-Bulk: Ac2HgAu7 after structural relaxation (PBE-GGA).

Summary:
Space group: P-4m2
N(E_F) in states/eV/f.u.: 5.5
Total magnetization in μB per formula unit: 0.0
Mass density in g/cm³: 14.0
Formation enthalpy at 0 K in eV per atom: -0.5074

a = 4.2788 Å, b = 4.2788 Å, c = 13.1627 Å
α = 90.00°, β = 90.00°, γ = 90.00°
Element x y z (fractional)
Ac (0.0000, 0.5000, 0.2395)
Ac (0.5000, 0.0000, 0.7605)
Hg (0.0000, 0.0000, 0.5000)
Au (0.0000, 0.0000, 0.0000)
Au (0.0000, 0.5000, 0.6487)
Au (0.0000, 0.5000, 0.8581)
Au (0.5000, 0.0000, 0.1419)
Au (0.5000, 0.0000, 0.3513)
Au (0.5000, 0.5000, 0.0000)
Au (0.5000, 0.5000, 0.5000)

Entry 6:
Entry from Alexandria via LeMat-Bulk: PrHf2ReC4 after structural relaxation (PBE-GGA).

Summary:
Space group: Cmcm
N(E_F) in states/eV/f.u.: 3.5
Total magnetization in μB per formula unit: 0.0
Mass density in g/cm³: 10.6
Formation enthalpy at 0 K in eV per atom: -0.3409

a = 6.1473 Å, b = 6.1473 Å, c = 11.5606 Å
α = 90.00°, β = 90.00°, γ = 148.19°
Element x y z (fractional)
Pr (0.0949, 0.9051, 0.7500)
Pr (0.9051, 0.0949, 0.2500)
Hf (0.3714, 0.6286, 0.5396)
Hf (0.3714, 0.6286, 0.9604)
Hf (0.6286, 0.3714, 0.0396)
Hf (0.6286, 0.3714, 0.4604)
Re (0.1680, 0.8320, 0.2500)
Re (0.8320, 0.1680, 0.7500)
C (0.0000, 0.0000, 0.0000)
C (0.0000, 0.0000, 0.5000)
C (0.2609, 0.7391, 0.1136)
C (0.2609, 0.7391, 0.3864)
C (0.4257, 0.5743, 0.7500)
C (0.5743, 0.4257, 0.2500)
C (0.7391, 0.2609, 0.6136)
C (0.7391, 0.2609, 0.8864)

Entry 7:
Entry from Alexandria via LeMat-Bulk: RbSb2PbAu2 after structural relaxation (PBE-GGA).

Summary:
Space group: P-3m1
N(E_F) in states/eV/f.u.: 3.3
Total magnetization in μB per formula unit: 0.0
Formation energy (no corrections) in eV/atom: -0.26
Mass density in g/cm³: 8.1

a = 4.6511 Å, b = 4.6511 Å, c = 10.1340 Å
α = 90.00°, β = 90.00°, γ = 120.00°
Element x y z (fractional)
Rb (0.0000, 0.0000, 0.0000)
Sb (0.3333, 0.6667, 0.2670)
Sb (0.6667, 0.3333, 0.7330)
Pb (0.0000, 0.0000, 0.5000)
Au (0.3333, 0.6667, 0.6966)
Au (0.6667, 0.3333, 0.3034)

Entry 8:
Entry from Alexandria via LeMat-Bulk: LiScSb2 after structural relaxation (PBE-GGA).

Summary:
Space group: Pm
N(E_F) in states/eV/f.u.: 2.2
Total magnetization in μB per formula unit: 0.0
Formation energy (no corrections) in eV/atom: -0.53
Mass density in g/cm³: 5.3
Energy above the lowest structure with this stoichiometry in kcal/mol of atoms: 2.26

a = 3.3284 Å, b = 4.9567 Å, c = 5.8058 Å
α = 90.00°, β = 104.71°, γ = 90.00°
Element x y z (fractional)
Li (0.0000, 0.0000, 0.0000)
Sc (0.8561, 0.5000, 0.5907)
Sb (0.3427, 0.0000, 0.5218)
Sb (0.5275, 0.5000, 0.0446)

Entry 9:
Entry from Alexandria via LeMat-Bulk: Pm3SmAl8 after structural relaxation (PBE-GGA).

Summary:
Space group: P3m1
N(E_F) in states/eV/f.u.: 6.0
Total magnetization in μB per formula unit: 0.0
Mass density in g/cm³: 5.2
Formation enthalpy at 0 K in eV per atom: -0.4997
Energy above the lowest structure with this stoichiometry in kcal/mol of atoms: 0.24

a = 5.6424 Å, b = 5.6424 Å, c = 9.2969 Å
α = 90.00°, β = 90.00°, γ = 120.00°
Element x y z (fractional)
Pm (0.0000, 0.0000, 0.0000)
Pm (0.0000, 0.0000, 0.3637)
Pm (0.3333, 0.6667, 0.8636)
Sm (0.3333, 0.6667, 0.4998)
Al (0.0089, 0.5045, 0.1820)
Al (0.3244, 0.1622, 0.6813)
Al (0.4955, 0.5045, 0.1820)
Al (0.4955, 0.9911, 0.1820)
Al (0.6667, 0.3333, 0.4319)
Al (0.6667, 0.3333, 0.9315)
Al (0.8378, 0.1622, 0.6813)
Al (0.8378, 0.6756, 0.6813)

Entry 10:
Entry from Alexandria via LeMat-Bulk: MgTl2ReIr after structural relaxation (PBE-GGA).

Summary:
Space group: P4/mmm
N(E_F) in states/eV/f.u.: 5.2
Total magnetization in μB per formula unit: 2.8
Mass density in g/cm³: 9.8
Formation enthalpy at 0 K in eV per atom: 1.6026
Energy above the lowest structure with this stoichiometry in kcal/mol of atoms: 12.56

a = 5.2140 Å, b = 5.2140 Å, c = 5.0465 Å
α = 90.00°, β = 90.00°, γ = 90.00°
Element x y z (fractional)
Mg (0.0000, 0.0000, 0.0000)
Tl (0.0000, 0.5000, 0.5000)
Tl (0.5000, 0.0000, 0.5000)
Re (0.0000, 0.0000, 0.5000)
Ir (0.5000, 0.5000, 0.0000)

Entry 11:
Entry from Alexandria via LeMat-Bulk: Ca2TlH after structural relaxation (PBE-GGA).

Summary:
Space group: I-42d
N(E_F) in states/eV/f.u.: 0.7
Total magnetization in μB per formula unit: 0.0
Mass density in g/cm³: 4.7
Energy above the lowest structure with this stoichiometry in kcal/mol of atoms: 0.00

a = 7.1460 Å, b = 7.1460 Å, c = 7.8752 Å
α = 90.00°, β = 90.00°, γ = 90.00°
Element x y z (fractional)
Ca (0.1426, 0.2500, 0.1250)
Ca (0.2500, 0.6426, 0.3750)
Ca (0.2500, 0.8574, 0.8750)
Ca (0.3574, 0.2500, 0.6250)
Ca (0.6426, 0.7500, 0.6250)
Ca (0.7500, 0.1426, 0.8750)
Ca (0.7500, 0.3574, 0.3750)
Ca (0.8574, 0.7500, 0.1250)
Tl (0.0000, 0.0000, 0.5000)
Tl (0.0000, 0.5000, 0.7500)
Tl (0.5000, 0.0000, 0.2500)
Tl (0.5000, 0.5000, 0.0000)
H (0.0000, 0.0000, 0.0000)
H (0.0000, 0.5000, 0.2500)
H (0.5000, 0.0000, 0.7500)
H (0.5000, 0.5000, 0.5000)

Entry 12:
Entry from Alexandria via LeMat-Bulk: Ga2Cu2Ir after structural relaxation (PBE-GGA).

Summary:
Space group: P4/mbm
N(E_F) in states/eV/f.u.: 1.7
Total magnetization in μB per formula unit: 0.0
Mass density in g/cm³: 10.9
Formation enthalpy at 0 K in eV per atom: -0.0405
Energy above the lowest structure with this stoichiometry in kcal/mol of atoms: 3.75

a = 6.7699 Å, b = 6.7699 Å, c = 3.0520 Å
α = 90.00°, β = 90.00°, γ = 90.00°
Element x y z (fractional)
Ga (0.1535, 0.3465, 0.0000)
Ga (0.3465, 0.8465, 0.0000)
Ga (0.6535, 0.1535, 0.0000)
Ga (0.8465, 0.6535, 0.0000)
Cu (0.1435, 0.6435, 0.5000)
Cu (0.3565, 0.1435, 0.5000)
Cu (0.6435, 0.8565, 0.5000)
Cu (0.8565, 0.3565, 0.5000)
Ir (0.0000, 0.0000, 0.0000)
Ir (0.5000, 0.5000, 0.0000)

Entry 13:
Entry from Alexandria via LeMat-Bulk: Ce2Hg2Ru after structural relaxation (PBE-GGA).

Summary:
Space group: I4/mmm
N(E_F) in states/eV/f.u.: 8.6
Total magnetization in μB per formula unit: 0.8
Mass density in g/cm³: 11.0
Formation enthalpy at 0 K in eV per atom: -0.2965

a = 3.3313 Å, b = 3.3313 Å, c = 21.2055 Å
α = 90.00°, β = 90.00°, γ = 90.00°
Element x y z (fractional)
Ce (0.0000, 0.0000, 0.0847)
Ce (0.0000, 0.0000, 0.9153)
Ce (0.5000, 0.5000, 0.4153)
Ce (0.5000, 0.5000, 0.5847)
Hg (0.0000, 0.0000, 0.3023)
Hg (0.0000, 0.0000, 0.6977)
Hg (0.5000, 0.5000, 0.1977)
Hg (0.5000, 0.5000, 0.8023)
Ru (0.0000, 0.0000, 0.5000)
Ru (0.5000, 0.5000, 0.0000)

Entry 14:
Entry from Alexandria via LeMat-Bulk: Pr8Se3S3O after structural relaxation (PBE-GGA).

Summary:
Space group: R-3m
N(E_F) in states/eV/f.u.: 3.9
Total magnetization in μB per formula unit: 0.0
Formation energy (no corrections) in eV/atom: -1.84
Mass density in g/cm³: 6.1

a = 8.3068 Å, b = 8.3068 Å, c = 8.3068 Å
α = 59.31°, β = 59.31°, γ = 59.31°
Element x y z (fractional)
Pr (0.2429, 0.2429, 0.2429)
Pr (0.2640, 0.7258, 0.7258)
Pr (0.2742, 0.2742, 0.7360)
Pr (0.2742, 0.7360, 0.2742)
Pr (0.7258, 0.2640, 0.7258)
Pr (0.7258, 0.7258, 0.2640)
Pr (0.7360, 0.2742, 0.2742)
Pr (0.7571, 0.7571, 0.7571)
Se (0.0000, 0.5000, 0.5000)
Se (0.5000, 0.0000, 0.5000)
Se (0.5000, 0.5000, 0.0000)
S (0.0000, 0.0000, 0.5000)
S (0.0000, 0.5000, 0.0000)
S (0.5000, 0.0000, 0.0000)
O (0.5000, 0.5000, 0.5000)

Entry 15:
Entry from Alexandria via LeMat-Bulk: AcLa4Pr2Th after structural relaxation (PBE-GGA).

Summary:
Space group: C2/m
N(E_F) in states/eV/f.u.: 15.6
Total magnetization in μB per formula unit: 0.0
Mass density in g/cm³: 7.3
Formation enthalpy at 0 K in eV per atom: 0.0383

a = 11.8360 Å, b = 5.2484 Å, c = 10.6093 Å
α = 90.00°, β = 116.60°, γ = 90.00°
Element x y z (fractional)
Ac (0.0000, 0.0000, 0.0000)
Ac (0.5000, 0.5000, 0.0000)
La (0.2437, 0.0000, 0.8640)
La (0.2449, 0.5000, 0.6151)
La (0.2551, 0.0000, 0.3849)
La (0.2563, 0.5000, 0.1360)
La (0.7437, 0.5000, 0.8640)
La (0.7449, 0.0000, 0.6151)
La (0.7551, 0.5000, 0.3849)
La (0.7563, 0.0000, 0.1360)
Pr (0.0027, 0.5000, 0.7369)
Pr (0.4973, 0.0000, 0.2631)
Pr (0.5027, 0.0000, 0.7369)
Pr (0.9973, 0.5000, 0.2631)
Th (0.0000, 0.0000, 0.5000)
Th (0.5000, 0.5000, 0.5000)

Entry 16:
Entry from Alexandria via LeMat-Bulk: InRePb2 after structural relaxation (PBE-GGA).

Summary:
Space group: C2/m
N(E_F) in states/eV/f.u.: 3.9
Total magnetization in μB per formula unit: 0.4
Mass density in g/cm³: 12.4
Formation enthalpy at 0 K in eV per atom: 0.9717
Energy above the lowest structure with this stoichiometry in kcal/mol of atoms: 10.52

a = 6.2012 Å, b = 11.4148 Å, c = 3.0637 Å
α = 90.00°, β = 117.97°, γ = 90.00°
Element x y z (fractional)
In (0.0000, 0.0000, 0.0000)
In (0.5000, 0.5000, 0.0000)
Re (0.0000, 0.5000, 0.0000)
Re (0.5000, 0.0000, 0.0000)
Pb (0.2500, 0.2500, 0.0000)
Pb (0.2500, 0.7500, 0.0000)
Pb (0.7500, 0.2500, 0.0000)
Pb (0.7500, 0.7500, 0.0000)

Entry 17:
Entry from Alexandria via LeMat-Bulk: PSe after structural relaxation (PBE-GGA).

Summary:
Space group: P-1
Total magnetization in μB per formula unit: 0.0
Formation energy (no corrections) in eV/atom: 0.04
Mass density in g/cm³: 3.1
Energy above the lowest structure with this stoichiometry in kcal/mol of atoms: 2.72

a = 4.0585 Å, b = 5.8408 Å, c = 5.9494 Å
α = 60.65°, β = 81.72°, γ = 73.15°
Element x y z (fractional)
P (0.2296, 0.3413, 0.9999)
P (0.7704, 0.6587, 0.0001)
Se (0.4993, 0.3371, 0.3261)
Se (0.5007, 0.6629, 0.6739)

Entry 18:
Entry from Alexandria via LeMat-Bulk: Rb2ZrAgBr6 after structural relaxation (PBE-GGA).

Summary:
Space group: Fm-3m
N(E_F) in states/eV/f.u.: 6.9
Total magnetization in μB per formula unit: 1.0
Formation energy (no corrections) in eV/atom: -1.25
Mass density in g/cm³: 4.1
Energy above the lowest structure with this stoichiometry in kcal/mol of atoms: 0.29

a = 7.8769 Å, b = 7.8769 Å, c = 7.8769 Å
α = 60.00°, β = 60.00°, γ = 60.00°
Element x y z (fractional)
Rb (0.2500, 0.2500, 0.2500)
Rb (0.7500, 0.7500, 0.7500)
Zr (0.0000, 0.0000, 0.0000)
Ag (0.5000, 0.5000, 0.5000)
Br (0.2436, 0.2436, 0.7564)
Br (0.2436, 0.7564, 0.2436)
Br (0.2436, 0.7564, 0.7564)
Br (0.7564, 0.2436, 0.2436)
Br (0.7564, 0.2436, 0.7564)
Br (0.7564, 0.7564, 0.2436)

Entry 19:
Entry from Alexandria via LeMat-Bulk: TaBeW2 after structural relaxation (PBE-GGA).

Summary:
Space group: Cmmm
N(E_F) in states/eV/f.u.: 2.1
Total magnetization in μB per formula unit: 0.0
Mass density in g/cm³: 14.8
Formation enthalpy at 0 K in eV per atom: 0.3624

a = 5.3838 Å, b = 8.7159 Å, c = 2.6654 Å
α = 90.00°, β = 90.00°, γ = 90.00°
Element x y z (fractional)
Ta (0.0000, 0.0000, 0.0000)
Ta (0.5000, 0.5000, 0.0000)
Be (0.0000, 0.5000, 0.0000)
Be (0.5000, 0.0000, 0.0000)
W (0.2500, 0.2500, 0.5000)
W (0.2500, 0.7500, 0.5000)
W (0.7500, 0.2500, 0.5000)
W (0.7500, 0.7500, 0.5000)

Entry 20:
Entry from Alexandria via LeMat-Bulk: Nd12Sm7Pu after structural relaxation (PBE-GGA).

Summary:
Space group: Im-3m
N(E_F) in states/eV/f.u.: 39.3
Total magnetization in μB per formula unit: 6.8
Mass density in g/cm³: 6.4
Formation enthalpy at 0 K in eV per atom: 0.6499

a = 10.0892 Å, b = 10.0892 Å, c = 10.0892 Å
α = 109.47°, β = 109.47°, γ = 109.47°
Element x y z (fractional)
Nd (0.0000, 0.2489, 0.7511)
Nd (0.0000, 0.7511, 0.2489)
Nd (0.2489, 0.0000, 0.7511)
Nd (0.2489, 0.2489, 0.4979)
Nd (0.2489, 0.4979, 0.2489)
Nd (0.2489, 0.7511, 0.0000)
Nd (0.4979, 0.2489, 0.2489)
Nd (0.5021, 0.7511, 0.7511)
Nd (0.7511, 0.0000, 0.2489)
Nd (0.7511, 0.2489, 0.0000)
Nd (0.7511, 0.5021, 0.7511)
Nd (0.7511, 0.7511, 0.5021)
Sm (0.0000, 0.0000, 0.5000)
Sm (0.0000, 0.5000, 0.0000)
Sm (0.0000, 0.5000, 0.5000)
Sm (0.5000, 0.0000, 0.0000)
Sm (0.5000, 0.0000, 0.5000)
Sm (0.5000, 0.5000, 0.0000)
Sm (0.5000, 0.5000, 0.5000)
Pu (0.0000, 0.0000, 0.0000)